[1]
CrTe2IO: single point on PBEsol structure, meta-GGA SCAN.

Lattice parameters (Å, degrees): 4.390 4.390 6.464 90.00 90.00 90.00
Site moments in Bohr magnetons follow the coordinates.
Positions (direct):
I 0.000 0.000 0.500  -0.10
Cr 0.500 0.500 0.500  4.19
Te 0.000 0.500 0.000  -0.10
Te 0.500 0.000 0.000  -0.10
O 0.000 0.000 0.000  -0.04

Properties
Uncorrected energy = -135.0 eV for the cell shown
Formation energy (no corrections) = 0.167 eV per atom

=====

[2]
ThCrI2O10: single point on PBEsol structure, meta-GGA SCAN.

Lattice parameters (Å, degrees): 7.345 9.613 11.548 90.00 90.00 90.00
Positions (direct):
Th 0.788 0.007 0.819
Th 0.712 0.993 0.319
Th 0.212 0.507 0.681
Th 0.288 0.493 0.181
Cr 0.200 0.039 0.196
Cr 0.300 0.961 0.696
Cr 0.800 0.539 0.304
Cr 0.700 0.461 0.804
I 0.699 0.261 0.050
I 0.662 0.736 0.041
I 0.838 0.264 0.541
I 0.162 0.764 0.959
I 0.338 0.236 0.459
I 0.801 0.739 0.550
I 0.199 0.239 0.950
I 0.301 0.761 0.450
O 0.129 0.403 0.014
O 0.534 0.834 0.441
O 0.132 0.975 0.792
O 0.491 0.029 0.746
O 0.256 0.964 0.075
O 0.671 0.296 0.835
O 0.632 0.525 0.208
O 0.284 0.690 0.303
O 0.930 0.845 0.951
O 0.586 0.837 0.916
O 0.368 0.025 0.292
O 0.086 0.663 0.084
O 0.991 0.471 0.254
O 0.070 0.345 0.549
O 0.414 0.337 0.584
O 0.466 0.334 0.059
O 0.868 0.475 0.708
O 0.914 0.163 0.416
O 0.244 0.036 0.575
O 0.509 0.529 0.754
O 0.009 0.971 0.246
O 0.716 0.190 0.197
O 0.034 0.666 0.559
O 0.867 0.135 0.658
O 0.966 0.166 0.941
O 0.871 0.903 0.486
O 0.570 0.155 0.451
O 0.784 0.810 0.697
O 0.329 0.796 0.665
O 0.216 0.310 0.803
O 0.756 0.536 0.925
O 0.629 0.097 0.986
O 0.171 0.204 0.165
O 0.633 0.865 0.158
O 0.430 0.655 0.049
O 0.133 0.635 0.842
O 0.371 0.597 0.514
O 0.829 0.704 0.335
O 0.367 0.365 0.342
O 0.744 0.464 0.425

Properties
Uncorrected energy = -1090.7 eV for the cell shown
Formation energy (no corrections) = -1.612 eV per atom

=====

[3]
YCrI2O: single point on PBEsol structure, meta-GGA SCAN.

Lattice parameters (Å, degrees): 4.106 6.036 6.036 90.00 90.00 90.00
Site moments in Bohr magnetons follow the coordinates.
Positions (direct):
I 0.000 0.000 0.500  -0.01
I 0.000 0.500 0.000  -0.01
Y 0.000 0.000 0.000  0.00
O 0.500 0.000 0.000  0.00
Cr 0.500 0.500 0.500  4.43

Properties
Uncorrected energy = -131.8 eV for the cell shown
Formation energy (no corrections) = -1.173 eV per atom

=====

[4]
ZrCrI2O: single point on PBEsol structure, meta-GGA SCAN.

Lattice parameters (Å, degrees): 3.558 5.534 5.534 90.00 90.00 90.00
Site moments in Bohr magnetons follow the coordinates.
Positions (direct):
I 0.000 0.000 0.500  -0.03
I 0.000 0.500 0.000  -0.03
Cr 0.000 0.000 0.000  3.21
O 0.500 0.000 0.000  -0.11
Zr 0.500 0.500 0.500  1.13

Properties
Uncorrected energy = -131.5 eV for the cell shown
Formation energy (no corrections) = -0.531 eV per atom

=====

[5]
Cr3OsI: single point on PBEsol structure, meta-GGA SCAN.

Lattice parameters (Å, degrees): 4.738 4.738 4.738 90.00 90.00 90.00
Site moments in Bohr magnetons follow the coordinates.
Positions (direct):
I 0.500 0.500 0.500  0.10
Cr 0.000 0.500 0.000  3.54
Cr 0.000 0.000 0.500  3.54
Cr 0.500 0.000 0.000  3.54
Os 0.000 0.000 0.000  -0.62

Properties
Uncorrected energy = -159.0 eV for the cell shown
Formation energy (no corrections) = 0.955 eV per atom

=====

[6]
CrPI2: single point on PBEsol structure, meta-GGA SCAN.

Lattice parameters (Å, degrees): 6.450 6.450 6.450 108.02 108.02 112.42
Site moments in Bohr magnetons follow the coordinates.
Positions (direct):
I 0.625 0.644 0.519  -0.05
I 0.125 0.106 0.481  -0.05
I 0.894 0.375 0.019  -0.05
I 0.356 0.875 0.981  -0.05
Cr 0.000 0.000 0.000  4.05
Cr 0.250 0.750 0.500  4.05
P 0.500 0.500 0.000  0.17
P 0.750 0.250 0.500  0.17

Properties
Uncorrected energy = -199.9 eV for the cell shown
Formation energy (no corrections) = 0.577 eV per atom

=====

[7]
Cr2PSeI: single point on PBEsol structure, meta-GGA SCAN.

Lattice parameters (Å, degrees): 5.105 5.121 5.121 90.00 90.00 90.00
Site moments in Bohr magnetons follow the coordinates.
Positions (direct):
I 0.000 0.000 0.000  -0.10
Cr 0.000 0.000 0.500  4.20
Cr 0.000 0.500 0.000  4.20
Se 0.500 0.500 0.500  -0.28
P 0.500 0.000 0.000  -0.51

Properties
Uncorrected energy = -98.2 eV for the cell shown
Formation energy (no corrections) = 1.152 eV per atom

=====

[8]
CrSbPbI2: single point on PBEsol structure, meta-GGA SCAN.

Lattice parameters (Å, degrees): 5.299 5.342 5.342 90.00 90.00 90.00
Site moments in Bohr magnetons follow the coordinates.
Positions (direct):
Pb 0.500 0.500 0.500  0.10
I 0.000 0.000 0.500  -0.05
I 0.000 0.500 0.000  -0.05
Cr 0.000 0.000 0.000  3.50
Sb 0.500 0.000 0.000  -0.22

Properties
Uncorrected energy = -204.4 eV for the cell shown
Formation energy (no corrections) = 0.108 eV per atom

=====

[9]
SrCrPb2I: single point on PBEsol structure, meta-GGA SCAN.

Lattice parameters (Å, degrees): 5.074 6.038 6.038 90.00 90.00 90.00
Site moments in Bohr magnetons follow the coordinates.
Positions (direct):
Pb 0.000 0.000 0.500  -0.08
Pb 0.000 0.500 0.000  -0.08
I 0.000 0.000 0.000  -0.02
Cr 0.500 0.000 0.000  4.16
Sr 0.500 0.500 0.500  -0.01

Properties
Uncorrected energy = -227.2 eV for the cell shown
Formation energy (no corrections) = 0.355 eV per atom

=====

[10]
CrTePbI2: single point on PBEsol structure, meta-GGA SCAN.

Lattice parameters (Å, degrees): 5.319 5.319 5.478 90.00 90.00 90.00
Site moments in Bohr magnetons follow the coordinates.
Positions (direct):
Pb 0.500 0.500 0.500  0.12
I 0.000 0.500 0.000  -0.05
I 0.500 0.000 0.000  -0.05
Te 0.000 0.000 0.500  -0.15
Cr 0.000 0.000 0.000  3.69

Properties
Uncorrected energy = -205.6 eV for the cell shown
Formation energy (no corrections) = -0.144 eV per atom

=====

[11]
Cr3PdI: single point on PBEsol structure, meta-GGA SCAN.

Lattice parameters (Å, degrees): 4.903 4.903 4.903 90.00 90.00 90.00
Site moments in Bohr magnetons follow the coordinates.
Positions (direct):
I 0.500 0.500 0.500  0.08
Cr 0.000 0.500 0.000  4.11
Cr 0.000 0.000 0.500  4.11
Cr 0.500 0.000 0.000  4.11
Pd 0.000 0.000 0.000  0.32

Properties
Energy above the most stable polymorph in this dataset = 0.0 kJ per mole of atoms
Uncorrected energy = -121.0 eV for the cell shown
Formation energy (no corrections) = 0.742 eV per atom

=====

[12]
Rb2CrI: single point on PBEsol structure, meta-GGA SCAN.

Lattice parameters (Å, degrees): 6.210 6.210 6.210 60.00 60.00 60.00
Site moments in Bohr magnetons follow the coordinates.
Positions (direct):
I 0.500 0.500 0.500  0.00
Cr 0.000 0.000 0.000  4.38
Rb 0.250 0.250 0.250  0.00
Rb 0.750 0.750 0.750  0.00

Properties
Uncorrected energy = -97.4 eV for the cell shown
Formation energy (no corrections) = -0.200 eV per atom